A plane-wave DFT calculation with PBE was carried out for an optimized crystal structure of La4SnSeS2.

Lattice parameters (Å, degrees): 4.3455 7.4894 7.4988 70.30 90.00 90.00
Positions (direct):
1 Se 0.0000 0.5000 0.5000
2 La 0.0000 0.7688 0.7380
3 La 0.0000 0.2312 0.2620
4 La 0.5000 0.7649 0.2491
5 La 0.5000 0.2351 0.7509
6 S 0.5000 0.0000 0.5000
7 S 0.0000 0.0000 0.0000
8 Sn 0.5000 0.5000 0.0000

space group = P2/m
size of the total moment = 0.000 μB/f.u.
ΔE_f (raw) = -1.74 eV per atom

=====

A plane-wave DFT calculation with PBE was carried out for an optimized crystal structure of TmScSiNi.

Lattice parameters (Å, degrees): 4.6920 4.6920 4.6920 60.00 60.00 60.00
Positions (direct):
1 Tm 0.0000 0.0000 0.0000
2 Ni 0.2500 0.2500 0.2500
3 Si 0.7500 0.7500 0.7500
4 Sc 0.5000 0.5000 0.5000

space group = F-43m
size of the total moment = 0.000 μB/f.u.
ΔE_f (raw) = -0.53 eV per atom

=====

A plane-wave DFT calculation with PBE was carried out for an optimized crystal structure of ScTlS2Cl.

Lattice parameters (Å, degrees): 4.9747 4.9747 5.2087 90.00 90.00 90.00
Each line ends with the local moment (μB).
Positions (direct):
1 S 0.0000 0.5000 0.0000  0.14
2 S 0.5000 0.0000 0.0000  0.14
3 Cl 0.0000 0.0000 0.5000  0.00
4 Sc 0.0000 0.0000 0.0000  -0.01
5 Tl 0.5000 0.5000 0.5000  0.01

space group = P4/mmm
size of the total moment = 0.458 μB/f.u.
ΔE_f (raw) = -1.09 eV per atom

=====

A plane-wave DFT calculation with PBE was carried out for an optimized crystal structure of Ac6Ga3O.

Lattice parameters (Å, degrees): 7.1040 8.6502 10.5988 90.00 85.54 90.00
Positions (direct):
1 Ac 0.8473 0.9450 0.2322
2 Ac 0.6640 0.1591 0.9451
3 Ac 0.3360 0.8409 0.0549
4 Ac 0.6527 0.4450 0.2678
5 Ac 0.8360 0.6591 0.5549
6 Ac 0.8689 0.7121 0.9327
7 Ac 0.6311 0.2121 0.5673
8 Ac 0.1311 0.2879 0.0673
9 Ac 0.3689 0.7879 0.4327
10 Ac 0.1527 0.0550 0.7678
11 Ac 0.1640 0.3409 0.4451
12 Ac 0.3473 0.5550 0.7322
13 Ga 0.5000 0.5000 0.0000
14 Ga 0.9273 0.3863 0.7594
15 Ga 0.5727 0.8863 0.7406
16 Ga 0.4273 0.1137 0.2594
17 Ga 0.0727 0.6137 0.2406
18 Ga 0.0000 0.0000 0.5000
19 O 0.0000 0.0000 0.0000
20 O 0.5000 0.5000 0.5000

space group = P2_1/c
size of the total moment = 0.000 μB/f.u.
ΔE_f (raw) = -0.74 eV per atom

=====

A plane-wave DFT calculation with PBE was carried out for an optimized crystal structure of AlTc2H.

Lattice parameters (Å, degrees): 5.9345 5.9345 4.9966 53.57 53.57 90.00
Positions (direct):
1 H 0.2500 0.7500 0.5000
2 H 0.5000 0.5000 0.0000
3 Al 0.0000 0.0000 0.0000
4 Al 0.7500 0.2500 0.5000
5 Tc 0.8750 0.7705 0.7500
6 Tc 0.3750 0.4795 0.7500
7 Tc 0.5205 0.1250 0.2500
8 Tc 0.2295 0.6250 0.2500

space group = I-42d
E_tot = -6.840 eV/atom
size of the total moment = 0.000 μB/f.u.

=====

A plane-wave DFT calculation with PBE was carried out for an optimized crystal structure of Pm7YEr2.

Lattice parameters (Å, degrees): 5.6451 9.3479 9.3479 123.72 90.00 90.00
Positions (direct):
1 Y 0.0000 0.0000 0.0000
2 Pm 0.5000 0.0652 0.2919
3 Pm 0.0000 0.2172 0.7828
4 Pm 0.5000 0.9348 0.7081
5 Pm 0.5000 0.7081 0.9348
6 Pm 0.5000 0.5000 0.5000
7 Pm 0.0000 0.7828 0.2172
8 Pm 0.5000 0.2919 0.0652
9 Er 0.5000 0.2949 0.7051
10 Er 0.5000 0.7051 0.2949

formation enthalpy at 0 K = 6.49 eV per formula unit
space group = Cmmm
size of the total moment = 0.007 μB/f.u.

=====

A plane-wave DFT calculation with PBE was carried out for an optimized crystal structure of TbDyIn.

Lattice parameters (Å, degrees): 3.5496 3.5496 7.3269 104.02 104.02 90.00
Positions (direct):
1 Tb 0.6058 0.6058 0.2115
2 In 0.9495 0.9495 0.8990
3 Dy 0.2947 0.2947 0.5894

formation enthalpy at 0 K = -0.94 eV per formula unit
space group = I4mm
size of the total moment = 0.000 μB/f.u.

=====

A plane-wave DFT calculation with PBE was carried out for an optimized crystal structure of TbDyGeIr.

Lattice parameters (Å, degrees): 4.1128 4.0972 5.7152 90.00 111.09 90.00
Positions (direct):
1 Tb 0.1433 0.0000 0.2867
2 Dy 0.8624 0.5000 0.7248
3 Ir 0.4203 0.0000 0.8405
4 Ge 0.5740 0.5000 0.1480

formation enthalpy at 0 K = -3.43 eV per formula unit
space group = Amm2
size of the total moment = 0.000 μB/f.u.